Record 1
Density functional theory data (PBE) for an optimized crystal structure of RbHg8H6.

Output
- magnetic moment (μB/f.u.) = 0.00
- E_tot (eV per cell) = -20.4

The structure in POSCAR format:
```
RbHg8H6
1.0
-2.1204 -5.3355 -1.9684
3.8644 -4.4155 -1.5519
0.4433 -6.9076 8.8884
Hg H Rb
8 6 1
Direct
0.4506 0.9712 0.6489
0.0288 0.0707 0.3511
0.6205 0.6205 0.1386
0.3795 0.3795 0.8614
0.5494 0.0288 0.3511
0.9712 0.9293 0.6489
0.9293 0.4506 0.6489
0.0707 0.5494 0.3511
0.3757 0.5401 0.1430
0.4599 0.0587 0.8570
0.0587 0.6244 0.8570
0.9413 0.3756 0.1430
0.5401 0.9413 0.1430
0.6243 0.4599 0.8570
0.0000 0.0000 0.0000
```

---

Record 2
Density functional theory data (PBE) for an optimized crystal structure of Rb2Hg2H5.

Output
- magnetic moment (μB/f.u.) = 0.00
- E_tot (eV per cell) = -38.6

The structure in POSCAR format:
```
Rb2Hg2H5
1.0
6.5763 -0.1692 1.6078
1.3765 7.4465 5.4693
0.3429 1.9832 9.1219
H Hg Rb
10 4 4
Direct
0.2984 0.3569 0.6361
0.0498 0.5888 0.8952
0.7016 0.3639 0.6431
0.2984 0.7664 0.2266
0.9501 0.5414 0.9746
0.5000 0.5651 0.9349
0.0499 0.0254 0.4586
0.9501 0.1048 0.4112
0.7016 0.7734 0.2336
0.5000 0.0651 0.4349
0.0000 0.0651 0.9349
0.5000 0.5651 0.4349
0.3806 0.7609 0.6307
0.6194 0.3693 0.2391
0.4296 0.1768 0.0466
0.9227 0.6747 0.5445
0.5704 0.9534 0.8232
0.0773 0.4555 0.3253
```